# 1
The following is a PBE calculation of a relaxed TcAs2Ru crystal, from Alexandria.

a b c (Å): 2.945 3.925 5.253
angles (deg): 90.00 90.00 90.00
Atoms (fractional coordinates):
As  0.000  0.000  0.946
Tc  0.500  0.500  0.794
As  0.500  0.500  0.305
Ru  0.000  0.000  0.455

Calculated values
E_form ... -0.058 eV per atom
Calculated volume ... 60.73 Å³/cell
Crystal system ... orthorhombic
ΔE to the lowest computed polymorph ... 66 meV per atom
SG ... No. 25
Uncorrected energy ... -7.293 eV/atom

***

# 2
The following is a PBE calculation of a relaxed Pu2ThP4Au crystal, from Alexandria.

a b c (Å): 4.011 6.864 13.524
angles (deg): 90.00 90.00 106.99
Last column: magnetic moment on the atom in μB.
Atoms (fractional coordinates):
Pu  0.370  0.739  0.561  4.80
Au  0.855  0.709  0.750  -0.05
P  0.725  0.450  0.618  -0.11
P  0.000  0.000  0.000  -0.19
P  0.275  0.550  0.382  -0.11
P  0.536  0.073  0.250  -0.09
Th  0.120  0.240  0.750  -0.06
P  0.000  0.000  0.500  -0.19
Th  0.880  0.760  0.250  -0.06
Au  0.145  0.291  0.250  -0.05
Pu  0.370  0.739  0.939  4.80
P  0.464  0.927  0.750  -0.09
P  0.275  0.550  0.118  -0.11
Pu  0.630  0.261  0.061  4.80
Pu  0.630  0.261  0.439  4.80
P  0.725  0.450  0.882  -0.11

Calculated values
E_form ... -0.929 eV per atom
Calculated volume ... 356.12 Å³/cell
Crystal system ... orthorhombic
SG ... No. 63
Uncorrected energy ... -8.554 eV/atom